Computed, not measured: a geometry-optimized TbPaMoO6 structure at the GGA+U level of DFT.

Summary:
**Final energy**: -155.0 eV for the cell shown
**Total magnetization**: 4.00 μB/cell

Cell: 5.0301 5.0301 10.2736 Å, 90.00 90.00 90.00°
Fractional positions:
Tb  0.0000  0.0000  0.0000
Tb  0.5000  0.5000  0.5000
Pa  0.0000  0.0000  0.3367
Pa  0.5000  0.5000  0.8367
Mo  0.0000  0.0000  0.6694
Mo  0.5000  0.5000  0.1694
O  0.1835  0.1835  0.5090
O  0.1956  0.1956  0.8241
O  0.2092  0.2092  0.1755
O  0.2908  0.7092  0.6755
O  0.3044  0.6956  0.3241
O  0.3165  0.6835  0.0090
O  0.6835  0.3165  0.0090
O  0.6956  0.3044  0.3241
O  0.7092  0.2908  0.6755
O  0.7908  0.7908  0.1755
O  0.8044  0.8044  0.8241
O  0.8165  0.8165  0.5090